Entry 1:
# BaCaAs

Crystalline BaCaAs at its relaxed geometry (PBE, Alexandria).

Output
- Final energy: -11.05 eV per cell
- Crystal system: cubic
- E above lowest polymorph: 46 meV per atom
- Formation enthalpy at 0 K: -80 kJ per mole of atoms
- Symmetry: F-43m

Cell and atoms, written as POSCAR:
```
BaCaAs
1.0
-4.884 1.790 -1.128
-4.234 -3.119 0.823
-3.402 1.115 3.940
As Ca Ba
1 1 1
direct
0.750 0.750 0.750 As
0.500 0.500 0.500 Ca
0.000 0.000 0.000 Ba
```

***

Entry 2:
# BaCaAs

Crystalline BaCaAs at its relaxed geometry (PBE, Alexandria).

Output
- Final energy: -11.09 eV per cell
- Crystal system: hexagonal
- E above lowest polymorph: 34 meV per atom
- Formation enthalpy at 0 K: -81 kJ per mole of atoms
- Symmetry: P-6m2

Cell and atoms, written as POSCAR:
```
BaCaAs
1.0
-0.843 -0.518 -4.847
4.642 0.074 1.710
-0.125 -5.005 0.557
As Ca Ba
1 1 1
direct
0.000 0.000 0.833 As
0.333 0.667 0.833 Ca
0.667 0.333 0.333 Ba
```

***

Entry 3:
# BaCaAs4

Crystalline BaCaAs4 at its relaxed geometry (PBE, Alexandria).

Output
- Final energy: -25.22 eV per cell
- Crystal system: cubic
- Formation enthalpy at 0 K: -43 kJ per mole of atoms
- Symmetry: F-43m

Cell and atoms, written as POSCAR:
```
BaCaAs4
1.0
0.000 4.195 4.195
4.195 0.000 4.195
4.195 4.195 0.000
Ba Ca As
1 1 4
direct
0.750 0.750 0.750 Ba
0.000 0.000 0.000 Ca
0.884 0.372 0.372 As
0.372 0.372 0.884 As
0.372 0.884 0.372 As
0.372 0.372 0.372 As
```

***

Entry 4:
# Ba3CaAs6

Crystalline Ba3CaAs6 at its relaxed geometry (PBE, Alexandria).

Output
- Final energy: -86.83 eV per cell
- Crystal system: trigonal
- Formation enthalpy at 0 K: -75 kJ per mole of atoms
- Symmetry: R-3c

Cell and atoms, written as POSCAR:
```
Ba3CaAs6
1.0
8.519 -0.376 -1.374
-1.553 8.384 -1.374
-0.327 -0.376 8.623
Ba Ca As
6 2 12
direct
0.181 0.750 0.319 Ba
0.319 0.181 0.750 Ba
0.250 0.681 0.819 Ba
0.750 0.319 0.181 Ba
0.681 0.819 0.250 Ba
0.819 0.250 0.681 Ba
0.000 0.000 0.000 Ca
0.500 0.500 0.500 Ca
0.894 0.618 0.989 As
0.011 0.106 0.382 As
0.118 0.394 0.489 As
0.382 0.011 0.106 As
0.394 0.489 0.118 As
0.511 0.882 0.606 As
0.489 0.118 0.394 As
0.606 0.511 0.882 As
0.618 0.989 0.894 As
0.882 0.606 0.511 As
0.989 0.894 0.618 As
0.106 0.382 0.011 As
```

***

Entry 5:
# BaCa4As

Crystalline BaCa4As at its relaxed geometry (PBE, Alexandria).

Output
- Final energy: -13.51 eV per cell
- Crystal system: cubic
- Formation enthalpy at 0 K: 17 kJ per mole of atoms
- Symmetry: F-43m

Cell and atoms, written as POSCAR:
```
BaCa4As
1.0
0.000 4.953 4.953
4.953 0.000 4.953
4.953 4.953 0.000
Ba Ca As
1 4 1
direct
0.000 0.000 0.000 Ba
0.872 0.376 0.376 Ca
0.376 0.376 0.872 Ca
0.376 0.872 0.376 Ca
0.376 0.376 0.376 Ca
0.750 0.750 0.750 As
```

***

Entry 6:
# BaCaAs2

Crystalline BaCaAs2 at its relaxed geometry (PBE, Alexandria).

Output
- Final energy: -16.35 eV per cell
- Crystal system: orthorhombic
- E above lowest polymorph: 146 meV per atom
- Formation enthalpy at 0 K: -75 kJ per mole of atoms
- Symmetry: Cmmm

Cell and atoms, written as POSCAR:
```
BaCaAs2
1.0
-5.203 2.401 -0.226
0.327 -0.675 -5.686
-1.449 -3.115 0.287
As Ca Ba
2 1 1
direct
0.000 0.000 0.000 As
0.500 0.500 0.000 As
0.000 0.500 0.500 Ca
0.500 0.000 0.500 Ba
```

***

Entry 7:
# BaCaAs3

Crystalline BaCaAs3 at its relaxed geometry (PBE, Alexandria).

Output
- Final energy: -15.60 eV per cell
- Crystal system: cubic
- E above lowest polymorph: 683 meV per atom
- Formation enthalpy at 0 K: 44 kJ per mole of atoms
- Symmetry: Pm-3m

Cell and atoms, written as POSCAR:
```
BaCaAs3
1.0
5.741 0.000 0.000
0.000 5.741 0.000
0.000 0.000 5.741
As Ca Ba
3 1 1
direct
0.000 0.500 0.000 As
0.000 0.000 0.500 As
0.500 0.000 0.000 As
0.500 0.500 0.500 Ca
0.000 0.000 0.000 Ba
```

***

Entry 8:
# Ba2CaAs2

Crystalline Ba2CaAs2 at its relaxed geometry (PBE, Alexandria).

Output
- Final energy: -17.59 eV per cell
- Crystal system: tetragonal
- E above lowest polymorph: 644 meV per atom
- Formation enthalpy at 0 K: -47 kJ per mole of atoms
- Symmetry: I4/mmm

Cell and atoms, written as POSCAR:
```
Ba2CaAs2
1.0
5.969 0.000 0.000
0.000 5.969 0.000
2.984 2.984 5.425
As Ca Ba
2 1 2
direct
0.750 0.250 0.500 As
0.250 0.750 0.500 As
0.000 0.000 0.000 Ca
0.339 0.339 0.322 Ba
0.661 0.661 0.678 Ba
```